# 1
## Y2FeGe3Ir4 (PBE)

Data for a geometry-optimized Y2FeGe3Ir4 structure.

Results
Space-group type: No. 115
VASP energy: -7.751 eV per atom
Energy of formation: -0.682 eV/atom

The structure in extended XYZ format:
```
10
Lattice="4.152 0.000 0.000 0.000 4.152 0.000 0.000 0.000 10.342" Properties=species:S:1:pos:R:3 pbc="T T T"
Y 2.076 0.000 2.611
Y 0.000 2.076 7.731
Fe 2.076 2.076 5.171
Ge 0.000 0.000 5.171
Ge 2.076 0.000 8.969
Ge 0.000 2.076 1.374
Ir 2.076 2.076 0.000
Ir 0.000 0.000 0.000
Ir 2.076 0.000 6.546
Ir 0.000 2.076 3.796
```



# 2
## KFe3Ge (PBE)

Data for a geometry-optimized KFe3Ge structure.

Results
Space-group type: No. 221
VASP energy: -3.851 eV per atom
Energy of formation: 2.369 eV/atom
Excess energy over the best structure of this formula in the dataset: 1428 meV/atom

The structure in extended XYZ format:
```
5
Lattice="-4.489 0.150 0.866 0.231 -4.149 1.913 0.848 1.921 4.064" Properties=species:S:1:pos:R:3 pbc="T T T"
K 0.000 0.000 0.000
Ge -1.705 -1.039 3.422
Fe 0.115 -2.074 0.957
Fe 0.424 0.961 2.032
Fe -2.245 0.075 0.433
```



# 3
## K2FeGe2 (PBE)

Data for a geometry-optimized K2FeGe2 structure.

Results
Space-group type: No. 127
VASP energy: -3.730 eV per atom
Energy of formation: 0.248 eV/atom

The structure in extended XYZ format:
```
10
Lattice="6.508 0.000 0.000 0.000 6.508 0.000 0.000 0.000 5.995" Properties=species:S:1:pos:R:3 pbc="T T T"
K 1.096 4.350 2.997
K 4.350 5.412 2.997
K 5.412 2.158 2.997
K 2.158 1.096 2.997
Ge 1.873 5.127 0.000
Ge 5.127 4.635 0.000
Ge 4.635 1.381 0.000
Ge 1.381 1.873 0.000
Fe 0.000 0.000 0.000
Fe 3.254 3.254 0.000
```